Entry 1:
First-principles (GGA-PBE) data for a geometry-optimized BeInRe2 structure, as listed in the Alexandria database.

Computed properties:
energy above the most stable polymorph in this dataset: 442.8 meV/atom
calculated volume: 14.8 Å³ per atom
energy of formation: 2.12 eV/f.u.
total moment: 0.0 μB/f.u.

```
BeInRe2
1.0
-2.283 -0.047 -1.568
2.169 -0.818 -1.516
-1.372 -7.770 2.230
In Re Be
1 2 1
direct
0.500 0.500 0.750 In
0.000 0.000 0.041 Re
0.000 0.000 0.459 Re
0.500 0.500 0.250 Be
```

---

Entry 2:
First-principles (GGA-PBE) data for a geometry-optimized BeAl2Ni structure, as listed in the Alexandria database.

Computed properties:
calculated volume: 12.3 Å³ per atom
energy of formation: -1.13 eV/f.u.
total moment: 0.0 μB/f.u.

```
BeAl2Ni
1.0
3.834 0.000 0.000
0.000 2.810 0.009
0.000 1.407 4.579
Be Al Ni
1 2 1
direct
0.000 0.691 0.493 Be
0.500 0.287 0.305 Al
0.000 0.963 0.946 Al
0.500 0.559 0.756 Ni
```

---

Entry 3:
First-principles (GGA-PBE) data for a geometry-optimized ReBiN2O structure, as listed in the Alexandria database.

Computed properties:
formation energy without anion corrections: 0.034 eV/atom
calculated volume: 12.6 Å³ per atom
total moment: 0.0 μB/f.u.

```
ReBiN2O
1.0
-0.409 -1.232 -3.793
-1.523 -3.475 1.293
-3.610 1.541 -0.112
Bi N O Re
1 2 1 1
direct
0.500 0.500 0.500 Bi
0.000 0.500 0.000 N
0.500 0.000 0.000 N
0.000 0.000 0.500 O
0.000 0.000 0.000 Re
```

---

Entry 4:
First-principles (GGA-PBE) data for a geometry-optimized RhSe2N2 structure, as listed in the Alexandria database.

Computed properties:
energy above the most stable polymorph in this dataset: 0.0 meV/atom
formation energy without anion corrections: -0.163 eV/atom
calculated volume: 24.8 Å³ per atom
total moment: 0.0 μB/f.u.

```
RhSe2N2
1.0
-2.367 0.553 -2.669
-1.010 -1.801 2.964
-3.549 9.091 5.032
N Se Rh
2 2 1
direct
0.971 0.943 0.453 N
0.029 0.057 0.547 N
0.347 0.694 0.874 Se
0.653 0.306 0.126 Se
0.000 0.000 0.000 Rh
```